Record 1
# PBE Er2ThN, relaxed
data_Er2ThN
_chemical_formula_sum 'Er6 Th3 N3'
_space_group_name_H-M_alt 'R -3 m'
_space_group_IT_number 166
_space_group_name_Hall '-R 3 2"'
_cell_length_a 3.4003
_cell_length_b 3.4003
_cell_length_c 28.6250
_cell_angle_alpha 90.00
_cell_angle_beta 90.00
_cell_angle_gamma 120.00
loop_
_atom_site_label
_atom_site_type_symbol
_atom_site_fract_x
_atom_site_fract_y
_atom_site_fract_z
Er1 Er 0.0000 0.0000 0.1203
Th1 Th 0.0000 0.0000 0.0000
N1 N 0.0000 0.0000 0.5000
# crystal system: trigonal
# uncorrected formation energy: -697.9 meV/atom
# offset from the most stable computed form: 0.000 eV/atom
# magnetization: 0.00 μB/cell

Record 2
# PBE Er5ThN6, relaxed
data_Er5ThN6
_chemical_formula_sum 'Er10 Th2 N12'
_space_group_name_H-M_alt 'C 1 2/m 1'
_space_group_IT_number 12
_space_group_name_Hall '-C 2y'
_cell_length_a 6.0169
_cell_length_b 10.4190
_cell_length_c 6.0136
_cell_angle_alpha 90.00
_cell_angle_beta 109.45
_cell_angle_gamma 90.00
loop_
_atom_site_label
_atom_site_type_symbol
_atom_site_fract_x
_atom_site_fract_y
_atom_site_fract_z
Er1 Er 0.0000 0.0000 0.0000
Er2 Er 0.0000 0.1661 0.5000
Er3 Er 0.0000 0.3309 0.0000
Th1 Th 0.0000 0.5000 0.5000
N1 N 0.2467 0.0000 0.7501
N2 N 0.2476 0.1683 0.2476
# crystal system: monoclinic
# uncorrected formation energy: -1745.5 meV/atom
# magnetization: 0.00 μB/cell

Record 3
# PBE ErTh2TiN5, relaxed
data_ErTh2TiN5
_chemical_formula_sum 'Er4 Th8 Ti4 N20'
_space_group_name_H-M_alt 'C m c 21'
_space_group_IT_number 36
_space_group_name_Hall 'C 2c -2'
_cell_length_a 3.5080
_cell_length_b 13.9414
_cell_length_c 10.5814
_cell_angle_alpha 90.00
_cell_angle_beta 90.00
_cell_angle_gamma 90.00
loop_
_atom_site_label
_atom_site_type_symbol
_atom_site_fract_x
_atom_site_fract_y
_atom_site_fract_z
Er1 Er 0.0000 0.2117 0.0000
Th1 Th 0.0000 0.1171 0.7002
Th2 Th 0.0000 0.1378 0.2832
Ti1 Ti 0.0000 0.4883 0.4787
N1 N 0.0000 0.0462 0.0525
N2 N 0.0000 0.2870 0.6619
N3 N 0.0000 0.3074 0.3574
N4 N 0.0000 0.3768 0.0262
N5 N 0.0000 0.4908 0.7972
# crystal system: orthorhombic
# uncorrected formation energy: -1564.1 meV/atom
# magnetization: 0.00 μB/cell

Record 4
# PBE Er2TmThN4, relaxed
data_Er2TmThN4
_chemical_formula_sum 'Er2 Tm1 Th1 N4'
_space_group_name_H-M_alt 'P 1 2/m 1'
_space_group_IT_number 10
_space_group_name_Hall '-P 2y'
_cell_length_a 6.0360
_cell_length_b 3.4951
_cell_length_c 6.0361
_cell_angle_alpha 90.00
_cell_angle_beta 109.31
_cell_angle_gamma 90.00
loop_
_atom_site_label
_atom_site_type_symbol
_atom_site_fract_x
_atom_site_fract_y
_atom_site_fract_z
Er1 Er 0.0000 0.0000 0.0000
Er2 Er 0.0000 0.5000 0.5000
Tm1 Tm 0.5000 0.0000 0.5000
Th1 Th 0.5000 0.5000 0.0000
N1 N 0.2453 0.0000 0.7439
N2 N 0.2500 0.5000 0.2525
# crystal system: monoclinic
# uncorrected formation energy: -1717.9 meV/atom
# magnetization: 0.00 μB/cell

Record 5
# PBE ErTmTh2N4, relaxed
data_ErTmTh2N4
_chemical_formula_sum 'Er1 Tm1 Th2 N4'
_space_group_name_H-M_alt 'P 1 2/m 1'
_space_group_IT_number 10
_space_group_name_Hall '-P 2y'
_cell_length_a 6.1345
_cell_length_b 3.5486
_cell_length_c 6.1419
_cell_angle_alpha 90.00
_cell_angle_beta 109.49
_cell_angle_gamma 90.00
loop_
_atom_site_label
_atom_site_type_symbol
_atom_site_fract_x
_atom_site_fract_y
_atom_site_fract_z
Er1 Er 0.0000 0.0000 0.0000
Tm1 Tm 0.0000 0.5000 0.5000
Th1 Th 0.5000 0.0000 0.5000
Th2 Th 0.5000 0.5000 0.0000
N1 N 0.2391 0.0000 0.7453
N2 N 0.2398 0.5000 0.2476
# crystal system: monoclinic
# uncorrected formation energy: -1642.4 meV/atom
# magnetization: 0.00 μB/cell

Record 6
# PBE ErTm2ThN4, relaxed
data_ErTm2ThN4
_chemical_formula_sum 'Er1 Tm2 Th1 N4'
_space_group_name_H-M_alt 'P 1 2/m 1'
_space_group_IT_number 10
_space_group_name_Hall '-P 2y'
_cell_length_a 6.0241
_cell_length_b 3.4873
_cell_length_c 6.0247
_cell_angle_alpha 90.00
_cell_angle_beta 109.31
_cell_angle_gamma 90.00
loop_
_atom_site_label
_atom_site_type_symbol
_atom_site_fract_x
_atom_site_fract_y
_atom_site_fract_z
Er1 Er 0.0000 0.0000 0.0000
Tm1 Tm 0.0000 0.5000 0.5000
Tm2 Tm 0.5000 0.0000 0.5000
Th1 Th 0.5000 0.5000 0.0000
N1 N 0.2440 0.0000 0.7425
N2 N 0.2493 0.5000 0.2531
# crystal system: monoclinic
# uncorrected formation energy: -1726.1 meV/atom
# magnetization: 0.00 μB/cell

Q: What is the magnetization in the fourth record?
A: 0.00 μB/cell

Q: What is the uncorrected formation energy in the sixth record?
A: -1726.1 meV/atom

Q: What is the formula in the fifth record?
A: ErTmTh2N4

Repeat the fourth record exactly.
# PBE Er2TmThN4, relaxed
data_Er2TmThN4
_chemical_formula_sum 'Er2 Tm1 Th1 N4'
_space_group_name_H-M_alt 'P 1 2/m 1'
_space_group_IT_number 10
_space_group_name_Hall '-P 2y'
_cell_length_a 6.0360
_cell_length_b 3.4951
_cell_length_c 6.0361
_cell_angle_alpha 90.00
_cell_angle_beta 109.31
_cell_angle_gamma 90.00
loop_
_atom_site_label
_atom_site_type_symbol
_atom_site_fract_x
_atom_site_fract_y
_atom_site_fract_z
Er1 Er 0.0000 0.0000 0.0000
Er2 Er 0.0000 0.5000 0.5000
Tm1 Tm 0.5000 0.0000 0.5000
Th1 Th 0.5000 0.5000 0.0000
N1 N 0.2453 0.0000 0.7439
N2 N 0.2500 0.5000 0.2525
# crystal system: monoclinic
# uncorrected formation energy: -1717.9 meV/atom
# magnetization: 0.00 μB/cell